Compound: NaCrPbO4
Source: Alexandria
Functional: PBE with a Hubbard U
Structure: optimized geometry

Cell lengths 5.436, 5.845, 7.858 Å; angles 90.00, 114.23, 90.00 degrees
Fractional positions:
Na1 0.937 0.750 0.590
Na2 0.063 0.250 0.410
Cr1 0.304 0.750 0.320
Cr2 0.696 0.250 0.680
Pb1 0.736 0.750 0.961
Pb2 0.264 0.250 0.039
O1 0.916 0.480 0.807
O2 0.084 0.980 0.193
O3 0.084 0.520 0.193
O4 0.916 0.020 0.807
O5 0.581 0.750 0.277
O6 0.419 0.250 0.723
O7 0.337 0.750 0.541
O8 0.663 0.250 0.459

## Properties
The size of the total moment comes out at 0.14 μB/atom. The total energy is -84.64 eV per cell.